1.
Compound: LaIn2Bi3
Source: Alexandria
Functional: PBE-GGA
Structure: relaxed

Lattice parameters (Å, degrees): 8.0151 8.0151 10.0322 90.00 90.00 144.36
Positions (direct):
La 0.1486 0.8514 0.0000
La 0.8514 0.1486 0.0000
In 0.1689 0.8311 0.5000
In 0.5000 0.5000 0.0000
In 0.5000 0.5000 0.5000
In 0.8311 0.1689 0.5000
Bi 0.0000 0.0000 0.2573
Bi 0.0000 0.0000 0.7427
Bi 0.3319 0.6681 0.2434
Bi 0.3319 0.6681 0.7566
Bi 0.6681 0.3319 0.2434
Bi 0.6681 0.3319 0.7566

Calculated values
volume: 31.295 A^3/atom
crystal system: orthorhombic

***

2.
Compound: La2In5Bi5
Source: Alexandria
Functional: PBE-GGA
Structure: relaxed

Lattice parameters (Å, degrees): 8.9968 8.9968 10.6265 122.93 122.93 31.99
Positions (direct):
La 0.1469 0.1469 0.0306
La 0.8531 0.8531 0.9694
In 0.0000 0.0000 0.5000
In 0.0800 0.0800 0.2971
In 0.2100 0.2100 0.7541
In 0.7900 0.7900 0.2459
In 0.9200 0.9200 0.7029
Bi 0.2948 0.2948 0.4375
Bi 0.4111 0.4111 0.2309
Bi 0.5000 0.5000 0.0000
Bi 0.5889 0.5889 0.7691
Bi 0.7052 0.7052 0.5625

Calculated values
volume: 31.316 A^3/atom
crystal system: monoclinic

***

3.
Compound: LaIn2Bi2
Source: Alexandria
Functional: PBE-GGA
Structure: relaxed

Lattice parameters (Å, degrees): 8.5622 8.5622 4.3130 90.00 90.00 90.00
Positions (direct):
La 0.0000 0.0000 0.0000
La 0.5000 0.5000 0.0000
In 0.1613 0.3387 0.5000
In 0.3387 0.8387 0.5000
In 0.6613 0.1613 0.5000
In 0.8387 0.6613 0.5000
Bi 0.1369 0.6369 0.0000
Bi 0.3631 0.1369 0.0000
Bi 0.6369 0.8631 0.0000
Bi 0.8631 0.3631 0.0000

Calculated values
volume: 31.619 A^3/atom
crystal system: tetragonal

***

no.,D(E_F) (states/eV/cell),DFT formation energy (eV/atom),total magnetic moment (μB per cell)
1,5.5,-0.30,0.0
2,6.7,-0.28,0.0
3,7.9,-0.23,0.0